Here is a relaxed Sc2MoI crystal from Alexandria via LeMat-Bulk. Energies are from PBE.

Summary:
Formation energy without anion corrections   295 kJ/mol of formula units
Excess energy over the best structure of this formula in the dataset   615 meV per atom
Crystal system   tetragonal
DFT total energy   -5.497 eV/atom
Total moment   0.89 μB per formula unit

POSCAR file:
```
Sc2MoI
1.0
-0.3959 -6.1823 1.2633
2.6153 0.9912 5.6702
-4.4599 -1.7443 5.8869
Mo Sc I
2 4 2
Direct
0.2500 0.7500 0.5000
0.5000 0.5000 0.0000
0.8750 0.7984 0.7500
0.3750 0.4516 0.7500
0.2016 0.6250 0.2500
0.5484 0.1250 0.2500
0.7500 0.2500 0.5000
0.0000 0.0000 0.0000
```

=====

Here is a relaxed YGaAu2 crystal from Alexandria via LeMat-Bulk. Energies are from PBE.

Summary:
Crystal system   orthorhombic
DFT total energy   -4.696 eV/atom
Total moment   0.00 μB per formula unit

POSCAR file:
```
YGaAu2
1.0
-3.5097 4.3177 -0.0303
-1.7221 -1.3513 6.9142
5.9221 4.8308 2.4191
Ga Au Y
4 8 4
Direct
0.1430 0.7500 0.1043
0.3570 0.7500 0.6043
0.8570 0.2500 0.8957
0.6430 0.2500 0.3957
0.3883 0.9538 0.3148
0.6117 0.0462 0.6852
0.1117 0.9538 0.8148
0.8883 0.4538 0.1852
0.1117 0.5462 0.8148
0.3883 0.5462 0.3148
0.6117 0.4538 0.6852
0.8883 0.0462 0.1852
0.6438 0.7500 0.9503
0.3562 0.2500 0.0497
0.1438 0.2500 0.5497
0.8562 0.7500 0.4503
```

=====

Here is a relaxed ZnBi2ClO crystal from Alexandria via LeMat-Bulk. Energies are from PBE.

Summary:
Formation energy without anion corrections   -40 kJ/mol of formula units
Crystal system   tetragonal
DFT total energy   -3.250 eV/atom
Total moment   0.00 μB per formula unit

POSCAR file:
```
ZnBi2ClO
1.0
-1.1874 -0.3529 5.6837
-2.4792 -2.4902 -0.6725
4.0224 -4.1618 0.5819
O Zn Cl Bi
1 1 1 2
Direct
0.0000 0.5000 0.0000
0.0000 0.0000 0.0000
0.5000 0.5000 0.5000
0.5000 0.0000 0.0000
0.0000 0.0000 0.5000
```